The following is a PBE calculation of a geometry-optimized Zn2In3Hg8 structure, from the Alexandria database.

Computed properties:
ΔH_f (0 K)	0.886	eV/f.u.

a b c (Å): 6.588 7.851 7.677
angles (deg): 120.75 98.84 90.00
Sites, in units of the cell vectors:
Zn (0.730, 0.802, 0.605)
Zn (0.270, 0.198, 0.395)
In (0.500, 0.000, 0.000)
In (0.000, 0.202, 0.000)
In (0.000, 0.798, 0.000)
Hg (0.189, 0.402, 0.805)
Hg (0.811, 0.598, 0.195)
Hg (0.156, 0.799, 0.598)
Hg (0.844, 0.201, 0.402)
Hg (0.408, 0.828, 0.276)
Hg (0.408, 0.448, 0.276)
Hg (0.592, 0.552, 0.724)
Hg (0.592, 0.172, 0.724)

The following is a PBE calculation of a geometry-optimized Tm2ReB6 structure, from the Alexandria database.

Computed properties:
offset from the most stable computed form	317	meV/atom
ΔH_f (0 K)	-3.247	eV/f.u.

a b c (Å): 3.406 5.357 6.626
angles (deg): 113.84 104.89 90.00
Sites, in units of the cell vectors:
Tm (0.838, 0.838, 0.676)
Tm (0.162, 0.162, 0.324)
Re (0.000, 0.500, 0.000)
B (0.621, 0.772, 0.243)
B (0.379, 0.228, 0.757)
B (0.379, 0.529, 0.757)
B (0.500, 0.165, 0.000)
B (0.500, 0.835, 0.000)
B (0.621, 0.471, 0.243)

The following is a PBE calculation of a geometry-optimized ZrCrSi2 structure, from the Alexandria database.

Computed properties:
offset from the most stable computed form	232	meV/atom

a b c (Å): 3.993 3.993 5.021
angles (deg): 66.54 66.54 60.08
Sites, in units of the cell vectors:
Cr (0.250, 0.250, 0.250)
Si (0.967, 0.967, 0.100)
Si (0.533, 0.533, 0.400)
Zr (0.750, 0.750, 0.750)

The following is a PBE calculation of a geometry-optimized Li2MgTc structure, from the Alexandria database.

Computed properties:
ΔH_f (0 K)	1.236	eV/f.u.

a b c (Å): 5.452 5.452 5.452
angles (deg): 151.76 127.93 60.29
Sites, in units of the cell vectors:
Li (0.987, 0.987, 0.000)
Li (0.760, 0.260, 0.500)
Mg (0.510, 0.510, 0.000)
Tc (0.243, 0.743, 0.500)

The following is a PBE calculation of a geometry-optimized SrCa2Re structure, from the Alexandria database.

Computed properties:
offset from the most stable computed form	146	meV/atom
ΔH_f (0 K)	3.308	eV/f.u.

a b c (Å): 11.592 11.592 11.592
angles (deg): 17.62 17.62 17.62
Sites, in units of the cell vectors:
Re (0.250, 0.250, 0.250)
Ca (0.980, 0.980, 0.980)
Ca (0.520, 0.520, 0.520)
Sr (0.750, 0.750, 0.750)

The following is a PBE calculation of a geometry-optimized HfTe2Au structure, from the Alexandria database.

Computed properties:
offset from the most stable computed form	322	meV/atom

a b c (Å): 5.103 5.103 5.103
angles (deg): 60.00 60.00 60.00
Sites, in units of the cell vectors:
Hf (0.000, 0.000, 0.000)
Te (0.250, 0.250, 0.250)
Te (0.750, 0.750, 0.750)
Au (0.500, 0.500, 0.500)

| no. | total magnetic moment (μB/cell) | DOS(E_F) (states/eV/cell) |
| --- | --- | --- |
| 1 | 0.0 | 3.90 |
| 2 | 0.5 | 3.64 |
| 3 | 0.6 | 2.72 |
| 4 | 0.0 | 2.03 |
| 5 | 1.2 | 4.24 |
| 6 | 0.0 | 2.14 |